Record 1
A relaxed Er3CoSi6Ni2 crystal, computed with PBE. Values from VASP.

Values from the calculation:
* uncorrected formation energy: -4.4 eV/f.u.
* crystal system: trigonal
* V: 17.394 Å³/atom
* space-group type: No. 164
* total DFT energy (no corrections): -69.3 eV per cell

Geometry as Quantum ESPRESSO input:
```
&SYSTEM
  ibrav = 0, nat = 12, ntyp = 4
/
ATOMIC_SPECIES
Er 167.26 Er.upf
Co 58.93 Co.upf
Si 28.09 Si.upf
Ni 58.69 Ni.upf
ATOMIC_POSITIONS angstrom
Er 0.000 0.000 0.000
Er 0.000 3.015 5.105
Er 2.611 1.507 3.734
Co 0.000 0.000 4.420
Si 0.000 1.486 2.519
Si -1.324 3.779 2.519
Si 1.287 0.743 6.321
Si 1.324 3.779 2.519
Si 3.935 0.743 6.321
Si 2.611 3.036 6.321
Ni 0.000 3.015 0.785
Ni 2.611 1.507 8.054
CELL_PARAMETERS angstrom
5.222 0.000 0.000
-2.611 4.522 0.000
0.000 0.000 8.839
```



Record 2
A relaxed VTe crystal, computed with PBE. Values from VASP.

Values from the calculation:
* uncorrected formation energy: 0.0 eV/f.u.
* crystal system: hexagonal
* V: 23.272 Å³/atom
* space-group type: No. 176
* total DFT energy (no corrections): -73.7 eV per cell

Geometry as Quantum ESPRESSO input:
```
&SYSTEM
  ibrav = 0, nat = 12, ntyp = 2
/
ATOMIC_SPECIES
V 50.94 V.upf
Te 127.60 Te.upf
ATOMIC_POSITIONS angstrom
V -0.729 3.446 1.265
V -0.642 5.821 1.265
V 2.620 2.355 3.795
V 1.371 4.558 1.265
V 4.633 1.092 3.795
V 4.721 3.467 3.795
Te -0.798 2.373 3.795
Te -1.537 6.418 3.795
Te 1.656 1.878 1.265
Te 2.335 5.035 3.795
Te 5.528 0.495 1.265
Te 4.790 4.540 1.265
CELL_PARAMETERS angstrom
7.983 0.000 0.000
-3.991 6.913 0.000
0.000 0.000 5.061
```



Record 3
A relaxed CaIn2Hg2 crystal, computed with PBE. Values from VASP.

Values from the calculation:
* energy relative to the elements: -0.291 eV per atom
* crystal system: trigonal
* V: 26.278 Å³/atom
* space-group type: No. 166
* total DFT energy (no corrections): -9.5 eV per cell

Geometry as Quantum ESPRESSO input:
```
&SYSTEM
  ibrav = 0, nat = 5, ntyp = 3
/
ATOMIC_SPECIES
Ca 40.08 Ca.upf
In 114.82 In.upf
Hg 200.59 Hg.upf
ATOMIC_POSITIONS angstrom
Ca 0.000 0.000 0.000
In 0.000 0.000 3.635
In 0.000 0.000 13.871
Hg 0.000 0.000 7.084
Hg 0.000 0.000 10.422
CELL_PARAMETERS angstrom
2.549 1.472 5.836
-2.549 1.472 5.836
0.000 -2.944 5.836
```



Record 4
A relaxed PmPrTeAs crystal, computed with PBE. Values from VASP.

Values from the calculation:
* uncorrected formation energy: -6.0 eV/f.u.
* crystal system: trigonal
* V: 30.125 Å³/atom
* space-group type: No. 160
* total DFT energy (no corrections): -23.4 eV per cell

Geometry as Quantum ESPRESSO input:
```
&SYSTEM
  ibrav = 0, nat = 4, ntyp = 4
/
ATOMIC_SPECIES
Pm 145.00 Pm.upf
Pr 140.91 Pr.upf
Te 127.60 Te.upf
As 74.92 As.upf
ATOMIC_POSITIONS angstrom
Pm 0.000 0.000 0.000
Pr 0.000 0.000 4.276
Te 0.000 0.000 9.667
As 0.000 0.000 13.565
CELL_PARAMETERS angstrom
2.143 1.237 7.573
-2.143 1.237 7.573
0.000 -2.475 7.573
```



Record 5
A relaxed Al2Zn8Ga crystal, computed with PBE. Values from VASP.

Values from the calculation:
* energy relative to the elements: 0.026 eV per atom
* crystal system: monoclinic
* V: 15.693 Å³/atom
* space-group type: No. 12
* total DFT energy (no corrections): -20.4 eV per cell
* distance to the lowest polymorph of the same formula: 0 meV per atom

Geometry as Quantum ESPRESSO input:
```
&SYSTEM
  ibrav = 0, nat = 11, ntyp = 3
/
ATOMIC_SPECIES
Al 26.98 Al.upf
Zn 65.41 Zn.upf
Ga 69.72 Ga.upf
ATOMIC_POSITIONS angstrom
Al 3.027 0.000 0.857
Al 9.690 0.000 5.305
Zn 0.284 0.000 1.373
Zn 0.878 0.000 4.214
Zn 3.602 0.000 3.636
Zn 5.790 0.000 0.249
Zn 6.927 0.000 5.913
Zn 9.114 0.000 2.525
Zn 11.839 0.000 1.947
Zn 12.432 0.000 4.788
Ga 6.358 0.000 3.081
CELL_PARAMETERS angstrom
7.153 -1.958 0.000
7.153 1.958 0.000
-1.589 0.000 6.161
```



Record 6
A relaxed PuAl3 crystal, computed with PBE. Values from VASP.

Values from the calculation:
* energy relative to the elements: -0.270 eV per atom
* crystal system: orthorhombic
* V: 19.310 Å³/atom
* space-group type: No. 63
* total DFT energy (no corrections): -53.3 eV per cell

Geometry as Quantum ESPRESSO input:
```
&SYSTEM
  ibrav = 0, nat = 8, ntyp = 2
/
ATOMIC_SPECIES
Pu 244.00 Pu.upf
Al 26.98 Al.upf
ATOMIC_POSITIONS angstrom
Pu 3.096 3.574 3.493
Pu 3.096 -3.574 1.164
Al 1.663 0.827 3.493
Al 3.096 1.658 1.164
Al 1.663 -0.827 1.164
Al 4.529 0.827 3.493
Al 3.096 -1.658 3.493
Al 4.529 -0.827 1.164
CELL_PARAMETERS angstrom
3.096 -5.356 0.000
3.096 5.356 0.000
0.000 0.000 4.657
```



no.,spin magnetization (μB per cell)
1,0.00
2,0.00
3,0.00
4,0.00
5,0.00
6,10.99